Computed, not measured: a geometry-optimized SrFeOs structure at the PBE level of DFT.

Calculated values
SG ... P3m1 (156)

Cell lengths 3.100, 3.100, 7.050 Å; angles 90.00, 90.00, 120.00 degrees
Fractional positions:
1 Sr 0.000 0.000 0.000
2 Fe 0.667 0.333 0.393
3 Os 0.333 0.667 0.634

Computed, not measured: a geometry-optimized NaAcZn structure at the PBE level of DFT.

Calculated values
SG ... I4mm (107)

Cell lengths 7.377, 7.377, 7.377 Å; angles 150.08, 150.08, 42.82 degrees
Fractional positions:
1 Na 0.000 0.000 0.000
2 Ac 0.272 0.272 0.000
3 Zn 0.639 0.639 0.000

Total magnetic moment, record by record: 2.92, 0.00 μB/f.u.
Raw total energy, record by record: -6.065, -2.199 eV per atom
D(E_F), record by record: 2.98, 1.42 states/eV/cell